(1)
A relaxed structure of TlPt2W, computed with GGA-PBE.

Cell lengths 4.864, 4.864, 5.279 Å; angles 98.06, 98.06, 34.66 degrees
Sites, in units of the cell vectors:
Tl 0.000 0.000 0.000
Pt 0.505 0.505 0.511
Pt 0.754 0.754 0.237
W 0.246 0.246 0.682

Values from the calculation:
- Raw total energy: -6.644 eV per atom
- Energy of formation from the pure elements: 0.2064 eV/atom


(2)
A relaxed structure of TeMo2W, computed with GGA-PBE.

Cell lengths 4.613, 4.613, 3.208 Å; angles 90.00, 90.00, 90.00 degrees
Sites, in units of the cell vectors:
Te 0.000 0.000 0.000
Mo 0.000 0.500 0.500
Mo 0.500 0.000 0.500
W 0.500 0.500 0.000

Values from the calculation:
- Raw total energy: -8.999 eV per atom
- Formation energy (no corrections): 0.4400 eV/atom


(3)
A relaxed structure of Nd6ZnIr2I3, computed with GGA-PBE.

Cell lengths 7.375, 7.375, 8.486 Å; angles 98.34, 98.34, 119.94 degrees
Sites, in units of the cell vectors:
Nd 0.085 0.436 0.810
Nd 0.211 0.211 0.189
Nd 0.436 0.085 0.810
Nd 0.564 0.915 0.190
Nd 0.789 0.789 0.811
Nd 0.915 0.564 0.190
Zn 0.500 0.500 0.000
Ir 0.167 0.833 0.000
Ir 0.833 0.167 0.000
I 0.000 0.000 0.500
I 0.336 0.664 0.500
I 0.664 0.336 0.500

Values from the calculation:
- Raw total energy: -5.185 eV per atom
- Formation energy (no corrections): -0.8306 eV/atom


(4)
A relaxed structure of Y3GaH2, computed with GGA-PBE.

Cell lengths 5.033, 11.494, 3.854 Å; angles 90.00, 90.00, 90.00 degrees
Sites, in units of the cell vectors:
Y 0.250 0.046 0.249
Y 0.250 0.454 0.249
Y 0.250 0.750 0.743
Y 0.750 0.250 0.257
Y 0.750 0.546 0.751
Y 0.750 0.954 0.751
Ga 0.250 0.250 0.752
Ga 0.750 0.750 0.248
H 0.250 0.554 0.749
H 0.250 0.946 0.749
H 0.750 0.054 0.251
H 0.750 0.446 0.251

Values from the calculation:
- Raw total energy: -5.347 eV per atom


(5)
A relaxed structure of CeIn3Rh4, computed with GGA-PBE.

Cell lengths 8.044, 8.044, 8.044 Å; angles 33.93, 33.93, 33.93 degrees
Sites, in units of the cell vectors:
Ce 0.000 0.000 0.000
In 0.249 0.249 0.249
In 0.500 0.500 0.500
In 0.751 0.751 0.751
Rh 0.125 0.125 0.125
Rh 0.381 0.381 0.381
Rh 0.619 0.619 0.619
Rh 0.875 0.875 0.875

Values from the calculation:
- Raw total energy: -5.982 eV per atom
- Energy of formation from the pure elements: -0.5380 eV/atom


(6)
A relaxed structure of ZrTaPt2, computed with GGA-PBE.

Cell lengths 4.611, 4.611, 4.611 Å; angles 60.00, 60.00, 60.00 degrees
Sites, in units of the cell vectors:
Zr 0.000 0.000 0.000
Ta 0.750 0.750 0.750
Pt 0.250 0.250 0.250
Pt 0.500 0.500 0.500

Values from the calculation:
- Raw total energy: -8.607 eV per atom
- Energy of formation from the pure elements: -0.4862 eV/atom


(7)
A relaxed structure of TlRhPb4, computed with GGA-PBE.

Cell lengths 7.405, 7.405, 6.133 Å; angles 90.19, 90.19, 90.02 degrees
Sites, in units of the cell vectors:
Tl 0.002 0.998 0.750
Tl 0.998 0.002 0.250
Rh 0.500 0.500 0.250
Rh 0.500 0.500 0.750
Pb 0.191 0.376 0.998
Pb 0.191 0.624 0.499
Pb 0.376 0.191 0.498
Pb 0.376 0.809 0.001
Pb 0.624 0.191 0.999
Pb 0.624 0.809 0.502
Pb 0.809 0.376 0.501
Pb 0.809 0.624 0.002

Values from the calculation:
- Raw total energy: -4.150 eV per atom
- Energy of formation from the pure elements: -0.0584 eV/atom


(8)
A relaxed structure of GeIrPt, computed with GGA-PBE.

Cell lengths 5.517, 5.514, 2.987 Å; angles 74.35, 74.23, 31.42 degrees
Sites, in units of the cell vectors:
Ge 0.000 0.000 0.000
Ir 0.360 0.360 0.640
Pt 0.656 0.656 0.344

Values from the calculation:
- Raw total energy: -6.566 eV per atom
- Energy of formation from the pure elements: -0.0595 eV/atom


(9)
A relaxed structure of CoP2, computed with GGA-PBE.

Cell lengths 5.539, 5.543, 5.613 Å; angles 90.00, 114.48, 90.00 degrees
Sites, in units of the cell vectors:
Co 0.228 0.001 0.212
Co 0.228 0.499 0.712
Co 0.772 0.501 0.288
Co 0.772 0.999 0.788
P 0.161 0.129 0.817
P 0.161 0.371 0.317
P 0.342 0.628 0.131
P 0.342 0.872 0.631
P 0.658 0.128 0.369
P 0.658 0.372 0.869
P 0.839 0.629 0.683
P 0.839 0.871 0.183

Values from the calculation:
- Raw total energy: -6.506 eV per atom
- Energy of formation from the pure elements: -0.5308 eV/atom


(10)
A relaxed structure of Y5Cu4Ir, computed with GGA-PBE.

Cell lengths 3.477, 3.477, 17.420 Å; angles 90.00, 90.00, 90.00 degrees
Sites, in units of the cell vectors:
Y 0.000 0.000 0.000
Y 0.000 0.000 0.202
Y 0.000 0.000 0.405
Y 0.000 0.000 0.595
Y 0.000 0.000 0.798
Cu 0.500 0.500 0.100
Cu 0.500 0.500 0.300
Cu 0.500 0.500 0.700
Cu 0.500 0.500 0.900
Ir 0.500 0.500 0.500

Values from the calculation:
- Raw total energy: -6.112 eV per atom
- Energy of formation from the pure elements: -0.3559 eV/atom


(11)
A relaxed structure of Tm8AsPt3Se4, computed with GGA-PBE.

Cell lengths 8.351, 8.351, 8.351 Å; angles 56.78, 56.78, 56.78 degrees
Sites, in units of the cell vectors:
Tm 0.237 0.749 0.749
Tm 0.243 0.243 0.243
Tm 0.251 0.251 0.763
Tm 0.251 0.763 0.251
Tm 0.749 0.237 0.749
Tm 0.749 0.749 0.237
Tm 0.757 0.757 0.757
Tm 0.763 0.251 0.251
As 0.500 0.500 0.500
Pt 0.000 0.000 0.500
Pt 0.000 0.500 0.000
Pt 0.500 0.000 0.000
Se 0.000 0.000 0.000
Se 0.000 0.500 0.500
Se 0.500 0.000 0.500
Se 0.500 0.500 0.000

Values from the calculation:
- Raw total energy: -6.020 eV per atom
- Formation energy (no corrections): -1.4901 eV/atom


(12)
A relaxed structure of CrInRe2, computed with GGA-PBE.

Cell lengths 3.215, 4.377, 4.468 Å; angles 90.00, 90.00, 90.00 degrees
Sites, in units of the cell vectors:
Cr 0.000 0.000 0.000
In 0.500 0.500 0.000
Re 0.000 0.500 0.500
Re 0.500 0.000 0.500

Values from the calculation:
- Raw total energy: -8.790 eV per atom
- Energy of formation from the pure elements: 0.5243 eV/atom


(13)
A relaxed structure of InReTe2, computed with GGA-PBE.

Cell lengths 5.084, 5.084, 3.516 Å; angles 90.00, 90.00, 103.05 degrees
Sites, in units of the cell vectors:
In 0.000 0.000 0.000
Re 0.500 0.500 0.000
Te 0.000 0.500 0.500
Te 0.500 0.000 0.500

Values from the calculation:
- Raw total energy: -4.514 eV per atom
- Formation energy (no corrections): 0.8533 eV/atom


(14)
A relaxed structure of VIr3Pd, computed with GGA-PBE.

Cell lengths 4.498, 4.498, 4.498 Å; angles 90.00, 90.00, 90.00 degrees
Sites, in units of the cell vectors:
V 0.000 0.000 0.000
Ir 0.000 0.000 0.500
Ir 0.000 0.500 0.000
Ir 0.500 0.000 0.000
Pd 0.500 0.500 0.500

Values from the calculation:
- Raw total energy: -6.957 eV per atom
- Energy of formation from the pure elements: 1.2216 eV/atom


(15)
A relaxed structure of ZrIn4Pb, computed with GGA-PBE.

Cell lengths 5.978, 5.978, 5.978 Å; angles 60.00, 60.00, 60.00 degrees
Sites, in units of the cell vectors:
Zr 0.000 0.000 0.000
In 0.124 0.625 0.625
In 0.625 0.124 0.625
In 0.625 0.625 0.124
In 0.625 0.625 0.625
Pb 0.250 0.250 0.250

Values from the calculation:
- Raw total energy: -3.739 eV per atom
- Energy of formation from the pure elements: 0.1295 eV/atom


(16)
A relaxed structure of Y2Er2Ag, computed with GGA-PBE.

Cell lengths 11.661, 11.661, 11.661 Å; angles 162.53, 162.53, 24.80 degrees
Sites, in units of the cell vectors:
Y 0.085 0.085 0.000
Y 0.915 0.915 0.000
Er 0.303 0.303 0.000
Er 0.697 0.697 0.000
Ag 0.500 0.500 0.000

Values from the calculation:
- Raw total energy: -5.079 eV per atom
- Energy of formation from the pure elements: -0.0984 eV/atom


(17)
A relaxed structure of Nd8Ge3RuI4, computed with GGA-PBE.

Cell lengths 9.243, 9.243, 9.243 Å; angles 56.12, 56.12, 56.12 degrees
Sites, in units of the cell vectors:
Nd 0.234 0.234 0.234
Nd 0.245 0.723 0.723
Nd 0.277 0.277 0.755
Nd 0.277 0.755 0.277
Nd 0.723 0.245 0.723
Nd 0.723 0.723 0.245
Nd 0.755 0.277 0.277
Nd 0.766 0.766 0.766
Ge 0.000 0.000 0.500
Ge 0.000 0.500 0.000
Ge 0.500 0.000 0.000
Ru 0.500 0.500 0.500
I 0.000 0.000 0.000
I 0.000 0.500 0.500
I 0.500 0.000 0.500
I 0.500 0.500 0.000

Values from the calculation:
- Raw total energy: -5.131 eV per atom
- Formation energy (no corrections): -0.9139 eV/atom


(18)
A relaxed structure of KSrNb2C, computed with GGA-PBE.

Cell lengths 4.609, 4.609, 5.785 Å; angles 90.00, 90.00, 90.00 degrees
Sites, in units of the cell vectors:
K 0.000 0.000 0.000
Sr 0.000 0.000 0.500
Nb 0.000 0.500 0.000
Nb 0.500 0.000 0.000
C 0.500 0.500 0.500

Values from the calculation:
- Raw total energy: -3.068 eV per atom
- Energy of formation from the pure elements: 3.3609 eV/atom


(19)
A relaxed structure of LaTh2CoC2, computed with GGA-PBE.

Cell lengths 5.846, 11.144, 3.828 Å; angles 90.00, 90.00, 90.00 degrees
Sites, in units of the cell vectors:
La 0.000 0.000 0.000
La 0.500 0.500 0.500
Th 0.002 0.301 0.500
Th 0.498 0.801 0.000
Th 0.502 0.199 0.000
Th 0.998 0.699 0.500
Co 0.000 0.500 0.000
Co 0.500 0.000 0.500
C 0.238 0.621 0.000
C 0.262 0.121 0.500
C 0.738 0.879 0.500
C 0.762 0.379 0.000

Values from the calculation:
- Raw total energy: -7.719 eV per atom
- Energy of formation from the pure elements: -0.1655 eV/atom


(20)
A relaxed structure of Mo3CCl, computed with GGA-PBE.

Cell lengths 4.207, 4.207, 4.207 Å; angles 90.00, 90.00, 90.00 degrees
Sites, in units of the cell vectors:
Mo 0.000 0.000 0.500
Mo 0.000 0.500 0.000
Mo 0.500 0.000 0.000
C 0.000 0.000 0.000
Cl 0.500 0.500 0.500

Values from the calculation:
- Raw total energy: -7.899 eV per atom
- Formation energy (no corrections): 0.8135 eV/atom